Below is crystalline Sm3Dy3PuTe8 at its relaxed geometry, with properties calculated at the GGA-PBE level.

As for the energy: -5.844 eV/atom. Its calculated volume is 31.9 Å³ per atom. The density of states at the Fermi level comes out at 20.15 states/eV/f.u.

The structure belongs to space group R-3m (No. 166, hexagonal axes); the cell edges are 8.7694, 8.7694 and 21.5401 Å and the angles 90.00°, 90.00° and 120.00°. The distinct sites, in fractional coordinates, are Sm at (0.0000, 0.5000, 0.0000), Dy at (0.0000, 0.5000, 0.5000), Pu at (0.0000, 0.0000, 0.5000), Te at (0.0000, 0.0000, 0.2476) and Te at (0.0123, 0.5062, 0.7494).


Below is crystalline Sm3Dy2PuTe6 at its relaxed geometry, with properties calculated at the GGA-PBE level.

As for the energy: -6.029 eV/atom. Its calculated volume is 30.3 Å³ per atom. The density of states at the Fermi level comes out at 12.21 states/eV/f.u.

The structure belongs to space group C2/m (No. 12); the cell edges are 19.256, 4.385 and 8.865 Å and the angles 90.00°, 103.59° and 90.00°. The distinct sites, in fractional coordinates, are Sm at (0.000, 0.000, 0.000), Sm at (0.165, 0.500, 0.334), Dy at (0.164, 0.500, 0.828), Pu at (0.000, 0.000, 0.500), Te at (0.001, 0.500, 0.749), Te at (0.167, 0.000, 0.588) and Te at (0.170, 0.000, 0.079).


Below is crystalline SmDy2Pu3Te6 at its relaxed geometry, with properties calculated at the GGA-PBE level.

As for the energy: -7.537 eV/atom. Its calculated volume is 30.3 Å³ per atom. The density of states at the Fermi level comes out at 34.49 states/eV/f.u.

The structure belongs to space group C2/m (No. 12); the cell edges are 19.209, 4.396 and 8.826 Å and the angles 90.00°, 102.98° and 90.00°. The distinct sites, in fractional coordinates, are Sm at (0.000, 0.000, 0.000), Dy at (0.166, 0.500, 0.335), Pu at (0.000, 0.000, 0.500), Pu at (0.165, 0.500, 0.835), Te at (0.002, 0.500, 0.253), Te at (0.168, 0.000, 0.088) and Te at (0.168, 0.000, 0.582).


Below is crystalline SmDyPuTh at its relaxed geometry, with properties calculated at the GGA-PBE level.

The energy of formation comes out at 0.22 eV per atom. Its calculated volume is 31.1 Å³ per atom. The density of states at the Fermi level comes out at 12.70 states/eV/f.u.

The structure belongs to space group F-43m (No. 216); the cell edges are 7.924, 7.924 and 7.924 Å and the angles 90.00°, 90.00° and 90.00°. The distinct sites, in fractional coordinates, are Sm at (0.000, 0.000, 0.000), Dy at (0.250, 0.250, 0.250), Pu at (0.250, 0.250, 0.750) and Th at (0.000, 0.000, 0.500).


Below is crystalline SmDyPuTl at its relaxed geometry, with properties calculated at the GGA-PBE level.

The energy of formation comes out at 0.04 eV per atom. Its calculated volume is 28.7 Å³ per atom. The density of states at the Fermi level comes out at 15.71 states/eV/f.u.

The structure belongs to space group F-43m (No. 216); the cell edges are 7.713, 7.713 and 7.713 Å and the angles 90.00°, 90.00° and 90.00°. The distinct sites, in fractional coordinates, are Sm at (0.000, 0.000, 0.000), Dy at (0.000, 0.000, 0.500), Pu at (0.250, 0.250, 0.250) and Tl at (0.250, 0.250, 0.750).


Below is crystalline Sm3Dy2Tm6Pu at its relaxed geometry, with properties calculated at the GGA-PBE level.

The energy of formation comes out at 0.04 eV per atom. Its calculated volume is 30.7 Å³ per atom. The density of states at the Fermi level comes out at 22.38 states/eV/f.u.

The structure belongs to space group C2/m (No. 12); the cell edges are 6.108, 10.580 and 11.589 Å and the angles 90.00°, 100.12° and 90.00°. The distinct sites, in fractional coordinates, are Sm at (0.000, 0.000, 0.000), Sm at (0.000, 0.333, 0.000), Dy at (0.000, 0.167, 0.500), Tm at (0.247, 0.336, 0.746), Tm at (0.247, 0.500, 0.254) and Pu at (0.000, 0.500, 0.500).


Below is crystalline Sm6Dy2Tm3Pu at its relaxed geometry, with properties calculated at the GGA-PBE level.

The energy of formation comes out at 0.05 eV per atom. Its calculated volume is 31.8 Å³ per atom. The density of states at the Fermi level comes out at 22.26 states/eV/f.u.

The structure belongs to space group C2/m (No. 12); the cell edges are 6.182, 10.709 and 11.710 Å and the angles 90.00°, 100.14° and 90.00°. The distinct sites, in fractional coordinates, are Sm at (0.247, 0.000, 0.250), Sm at (0.248, 0.165, 0.750), Dy at (0.000, 0.333, 0.500), Tm at (0.000, 0.167, 0.000), Tm at (0.000, 0.500, 0.000) and Pu at (0.000, 0.000, 0.500).


Below is crystalline Sm2Dy6Tm3Pu at its relaxed geometry, with properties calculated at the GGA-PBE level.

The energy of formation comes out at 0.05 eV per atom. Its calculated volume is 31.1 Å³ per atom. The density of states at the Fermi level comes out at 25.32 states/eV/f.u.

The structure belongs to space group C2/m (No. 12); the cell edges are 6.118, 10.604 and 11.673 Å and the angles 90.00°, 100.11° and 90.00°. The distinct sites, in fractional coordinates, are Sm at (0.000, 0.167, 0.000), Dy at (0.246, 0.500, 0.748), Dy at (0.248, 0.335, 0.251), Tm at (0.000, 0.000, 0.500), Tm at (0.000, 0.333, 0.500) and Pu at (0.000, 0.500, 0.000).


- What is the formula in the second record?
  Sm3Dy2PuTe6


Copy entry 6 word for word.
Below is crystalline Sm3Dy2Tm6Pu at its relaxed geometry, with properties calculated at the GGA-PBE level.

The energy of formation comes out at 0.04 eV per atom. Its calculated volume is 30.7 Å³ per atom. The density of states at the Fermi level comes out at 22.38 states/eV/f.u.

The structure belongs to space group C2/m (No. 12); the cell edges are 6.108, 10.580 and 11.589 Å and the angles 90.00°, 100.12° and 90.00°. The distinct sites, in fractional coordinates, are Sm at (0.000, 0.000, 0.000), Sm at (0.000, 0.333, 0.000), Dy at (0.000, 0.167, 0.500), Tm at (0.247, 0.336, 0.746), Tm at (0.247, 0.500, 0.254) and Pu at (0.000, 0.500, 0.500).


- Which of these has the lowest calculated volume?
  SmDyPuTl


- What is the calculated volume in the sixth record?
  30.7 Å³ per atom